The following is a PBE calculation of a geometry-optimized KHg2S3 structure, from Alexandria.

As for the uncorrected formation energy: -0.295 eV per atom. The crystal system is orthorhombic. The density is 5520 kg/m³.

The space group is Pmmn (No. 59, origin choice 2) and the conventional cell measures 5.804, 12.158 and 4.574 Å, with angles of 90.00, 90.00 and 90.00 degrees. The inequivalent atoms are K at (0.250, 0.250, 0.207), Hg at (0.250, 0.588, 0.318), S at (0.250, 0.058, 0.675) and S at (0.250, 0.750, 0.009).